# 1
! LaURe4 (PBE, relaxed); values from VASP
&SYSTEM
  ibrav = 0, nat = 6, ntyp = 3
/
ATOMIC_SPECIES
La 138.91 La.upf
U 238.03 U.upf
Re 186.21 Re.upf
CELL_PARAMETERS angstrom
0.000 3.856 3.856
3.856 0.000 3.856
3.856 3.856 0.000
ATOMIC_POSITIONS crystal
La 0.000 0.000 0.000
U 0.750 0.750 0.750
Re 0.375 0.375 0.375
Re 0.375 0.375 0.875
Re 0.375 0.875 0.375
Re 0.875 0.375 0.375
! * E_tot: -0.796 Ry/atom
! * DFT formation energy: 0.1656 eV/atom


# 2
! AcVH3 (PBE, relaxed); values from VASP
&SYSTEM
  ibrav = 0, nat = 5, ntyp = 3
/
ATOMIC_SPECIES
Ac 227.00 Ac.upf
V 50.94 V.upf
H 1.01 H.upf
CELL_PARAMETERS angstrom
3.909 0.000 0.000
0.000 3.909 0.000
0.000 0.000 3.909
ATOMIC_POSITIONS crystal
Ac 0.000 0.000 0.000
V 0.500 0.500 0.500
H 0.000 0.500 0.500
H 0.500 0.000 0.500
H 0.500 0.500 0.000
! * E_tot: -0.352 Ry/atom


# 3
! NaEuPd (PBE, relaxed); values from VASP
&SYSTEM
  ibrav = 0, nat = 3, ntyp = 3
/
ATOMIC_SPECIES
Na 22.99 Na.upf
Eu 151.96 Eu.upf
Pd 106.42 Pd.upf
CELL_PARAMETERS angstrom
4.910 0.000 0.000
-2.455 4.252 0.000
0.000 0.000 3.691
ATOMIC_POSITIONS crystal
Na 0.000 0.000 0.000
Eu 0.667 0.333 0.498
Pd 0.333 0.667 0.995
! * relative energy among the computed polymorphs: 65 meV/atom
! * E_tot: -0.424 Ry/atom
! * DFT formation energy: -0.1728 eV/atom


# 4
! LiPICl2 (PBE, relaxed); values from VASP
&SYSTEM
  ibrav = 0, nat = 5, ntyp = 4
/
ATOMIC_SPECIES
Li 6.94 Li.upf
P 30.97 P.upf
I 126.90 I.upf
Cl 35.45 Cl.upf
CELL_PARAMETERS angstrom
5.900 0.000 0.000
0.000 5.900 0.000
0.000 0.000 5.043
ATOMIC_POSITIONS crystal
Li 0.000 0.000 0.000
P 0.500 0.500 0.000
I 0.500 0.500 0.500
Cl 0.000 0.500 0.500
Cl 0.500 0.000 0.500
! * E_form (uncorrected): 211 meV/atom
! * relative energy among the computed polymorphs: 287 meV/atom
! * E_tot: -0.169 Ry/atom


# 5
! Tb6Dy5Th2 (PBE, relaxed); values from VASP
&SYSTEM
  ibrav = 0, nat = 26, ntyp = 3
/
ATOMIC_SPECIES
Tb 158.93 Tb.upf
Dy 162.50 Dy.upf
Th 232.04 Th.upf
CELL_PARAMETERS angstrom
11.504 0.000 0.000
0.000 20.648 0.000
0.000 0.000 3.565
ATOMIC_POSITIONS crystal
Tb 0.066 0.146 0.000
Tb 0.078 0.436 0.000
Tb 0.184 0.877 0.500
Tb 0.316 0.377 0.500
Tb 0.422 0.936 0.000
Tb 0.434 0.646 0.000
Tb 0.566 0.354 0.000
Tb 0.578 0.064 0.000
Tb 0.684 0.623 0.500
Tb 0.816 0.123 0.500
Tb 0.922 0.564 0.000
Tb 0.934 0.854 0.000
Dy 0.000 0.000 0.500
Dy 0.070 0.292 0.500
Dy 0.190 0.577 0.500
Dy 0.310 0.077 0.500
Dy 0.430 0.792 0.500
Dy 0.500 0.500 0.500
Dy 0.570 0.208 0.500
Dy 0.690 0.923 0.500
Dy 0.810 0.423 0.500
Dy 0.930 0.708 0.500
Th 0.187 0.733 0.000
Th 0.313 0.233 0.000
Th 0.687 0.767 0.000
Th 0.813 0.267 0.000
! * E_tot: -0.363 Ry/atom
! * DFT formation energy: 0.1110 eV/atom


# 6
! CsHBr2 (PBE, relaxed); values from VASP
&SYSTEM
  ibrav = 0, nat = 4, ntyp = 3
/
ATOMIC_SPECIES
Cs 132.91 Cs.upf
H 1.01 H.upf
Br 79.90 Br.upf
CELL_PARAMETERS angstrom
0.000 4.242 4.242
4.242 0.000 4.242
4.242 4.242 0.000
ATOMIC_POSITIONS crystal
Cs 0.000 0.000 0.000
H 0.500 0.500 0.500
Br 0.250 0.250 0.250
Br 0.750 0.750 0.750
! * relative energy among the computed polymorphs: 930 meV/atom
! * E_tot: -0.147 Ry/atom


# 7
! LiCoSe (PBE, relaxed); values from VASP
&SYSTEM
  ibrav = 0, nat = 6, ntyp = 3
/
ATOMIC_SPECIES
Li 6.94 Li.upf
Co 58.93 Co.upf
Se 78.96 Se.upf
CELL_PARAMETERS angstrom
3.840 0.000 0.000
0.000 3.840 0.000
0.000 0.000 6.114
ATOMIC_POSITIONS crystal
Li 0.250 0.250 0.174
Li 0.750 0.750 0.826
Co 0.250 0.750 0.500
Co 0.750 0.250 0.500
Se 0.250 0.250 0.740
Se 0.750 0.750 0.260
! * E_form (uncorrected): -533 meV/atom
! * relative energy among the computed polymorphs: 0 meV/atom
! * E_tot: -0.346 Ry/atom


# 8
! CrSe3 (PBE, relaxed); values from VASP
&SYSTEM
  ibrav = 0, nat = 4, ntyp = 2
/
ATOMIC_SPECIES
Cr 52.00 Cr.upf
Se 78.96 Se.upf
CELL_PARAMETERS angstrom
-2.754 2.754 2.754
2.754 -2.754 2.754
2.754 2.754 -2.754
ATOMIC_POSITIONS crystal
Cr 0.000 0.000 0.000
Se 0.000 0.500 0.500
Se 0.500 0.000 0.500
Se 0.500 0.500 0.000
! * E_form (uncorrected): 25 meV/atom
! * E_tot: -0.367 Ry/atom